Below is a geometry-optimized Nd12Er6Mg structure, with properties calculated at the PBE-GGA level.

Summary:
Fermi-level density of states, states/eV per cell: 24.9
Formation energy, eV per formula unit: 2.52
Energy relative to the lowest polymorph listed for this composition, meV/atom: 12
Space group: No. 166

```
Nd12Er6Mg
1.0
8.612 0.381 -1.468
-1.801 8.431 -1.468
0.295 0.381 8.732
Nd Er Mg
12 6 1
Direct
0.582 0.169 0.582 Nd
0.169 0.582 0.582 Nd
0.582 0.582 0.169 Nd
0.418 0.831 0.418 Nd
0.831 0.418 0.418 Nd
0.418 0.418 0.831 Nd
0.261 0.000 0.739 Nd
0.261 0.739 0.000 Nd
0.000 0.261 0.739 Nd
0.739 0.000 0.261 Nd
0.739 0.261 0.000 Nd
0.000 0.739 0.261 Nd
0.138 0.138 0.406 Er
0.862 0.594 0.862 Er
0.594 0.862 0.862 Er
0.862 0.862 0.594 Er
0.138 0.406 0.138 Er
0.406 0.138 0.138 Er
0.000 0.000 0.000 Mg
```

Below is a geometry-optimized Nd12Er6Mg structure, with properties calculated at the PBE-GGA level.

Summary:
Fermi-level density of states, states/eV per cell: 32.3
Formation energy, eV per formula unit: 2.30
Energy relative to the lowest polymorph listed for this composition, meV/atom: 0
Space group: No. 148

```
Nd12Er6Mg
1.0
8.571 0.703 0.842
-0.604 8.579 0.842
-0.604 -0.704 8.591
Nd Er Mg
12 6 1
Direct
0.785 0.538 0.431 Nd
0.431 0.785 0.538 Nd
0.538 0.431 0.785 Nd
0.215 0.462 0.569 Nd
0.569 0.215 0.462 Nd
0.462 0.569 0.215 Nd
0.017 0.182 0.365 Nd
0.818 0.635 0.983 Nd
0.635 0.983 0.818 Nd
0.983 0.818 0.635 Nd
0.182 0.365 0.017 Nd
0.365 0.017 0.182 Nd
0.741 0.900 0.286 Er
0.714 0.259 0.100 Er
0.100 0.714 0.259 Er
0.259 0.100 0.714 Er
0.286 0.741 0.900 Er
0.900 0.286 0.741 Er
0.000 0.000 0.000 Mg
```

Below is a geometry-optimized NdEr2Mg structure, with properties calculated at the PBE-GGA level.

Summary:
Fermi-level density of states, states/eV per cell: 6.8
Formation energy, eV per formula unit: 0.82
Energy relative to the lowest polymorph listed for this composition, meV/atom: 233
Space group: No. 166

```
NdEr2Mg
1.0
3.415 0.000 0.000
1.707 2.957 0.000
1.707 0.986 12.176
Mg Nd Er
1 1 2
Direct
0.500 0.500 0.500 Mg
0.000 0.000 0.000 Nd
0.094 0.094 0.719 Er
0.906 0.906 0.281 Er
```

Below is a geometry-optimized NdErMg structure, with properties calculated at the PBE-GGA level.

Summary:
Fermi-level density of states, states/eV per cell: 7.3
Formation energy, eV per formula unit: 0.09
Energy relative to the lowest polymorph listed for this composition, meV/atom: 76
Space group: No. 28

```
NdErMg
1.0
5.426 -0.001 0.793
0.043 3.433 -0.292
4.060 0.811 10.159
Nd Er Mg
2 2 2
Direct
0.900 0.143 0.741 Nd
0.553 0.143 0.588 Nd
0.212 0.642 0.929 Er
0.242 0.642 0.399 Er
0.896 0.141 0.246 Mg
0.559 0.141 0.083 Mg
```

Below is a geometry-optimized Nd8Er2Mg structure, with properties calculated at the PBE-GGA level.

Summary:
Fermi-level density of states, states/eV per cell: 15.4
Formation energy, eV per formula unit: 0.10
Energy relative to the lowest polymorph listed for this composition, meV/atom: 0
Space group: No. 12

```
Nd8Er2Mg
1.0
5.123 0.000 0.000
0.000 8.070 0.489
-2.561 -2.967 8.696
Nd Er Mg
8 2 1
Direct
0.409 0.551 0.817 Nd
0.682 0.910 0.363 Nd
0.863 0.816 0.725 Nd
0.954 0.276 0.908 Nd
0.137 0.184 0.275 Nd
0.318 0.090 0.637 Nd
0.591 0.449 0.183 Nd
0.046 0.724 0.092 Nd
0.774 0.366 0.549 Er
0.226 0.634 0.451 Er
0.500 0.000 0.000 Mg
```

Below is a geometry-optimized NdEr2Mg structure, with properties calculated at the PBE-GGA level.

Summary:
Fermi-level density of states, states/eV per cell: 4.8
Formation energy, eV per formula unit: -0.09
Energy relative to the lowest polymorph listed for this composition, meV/atom: 4
Space group: No. 123

```
NdEr2Mg
1.0
-1.243 -0.557 -3.370
1.974 -3.044 -0.226
-6.945 -4.753 3.346
Mg Nd Er
1 1 2
Direct
0.500 0.500 0.000 Mg
0.500 0.500 0.500 Nd
0.000 0.000 0.774 Er
0.000 0.000 0.226 Er
```

Below is a geometry-optimized NdErMg4 structure, with properties calculated at the PBE-GGA level.

Summary:
Fermi-level density of states, states/eV per cell: 4.7
Formation energy, eV per formula unit: -0.44
Energy relative to the lowest polymorph listed for this composition, meV/atom: 4
Space group: No. 71

```
NdErMg4
1.0
-1.579 -3.350 3.730
4.589 -2.570 3.338
-2.742 2.652 4.925
Nd Er Mg
1 1 4
Direct
0.500 0.500 0.500 Nd
0.000 0.000 0.000 Er
0.748 0.585 0.918 Mg
0.252 0.415 0.082 Mg
0.251 0.083 0.415 Mg
0.749 0.917 0.585 Mg
```

Below is a geometry-optimized Nd5ErMg5 structure, with properties calculated at the PBE-GGA level.

Summary:
Fermi-level density of states, states/eV per cell: 13.2
Formation energy, eV per formula unit: 1.50
Space group: No. 12

```
Nd5ErMg5
1.0
5.893 0.000 0.000
-2.947 9.117 0.271
0.000 -2.685 6.219
Nd Er Mg
5 1 5
Direct
0.685 0.369 0.186 Nd
0.633 0.265 0.634 Nd
0.000 0.000 0.500 Nd
0.367 0.735 0.366 Nd
0.315 0.631 0.814 Nd
0.000 0.000 0.000 Er
0.833 0.666 0.065 Mg
0.833 0.666 0.600 Mg
0.500 0.000 0.000 Mg
0.167 0.334 0.400 Mg
0.167 0.334 0.935 Mg
```